VASP calculation (PBE-GGA) on a geometry-optimized Ac2SnBi4 structure.

```
Ac2SnBi4
1.0
4.711 0.000 0.000
0.000 4.711 0.000
0.000 0.000 11.696
Ac Sn Bi
2 1 4
Direct
0.500 0.000 0.730 Ac
0.000 0.500 0.270 Ac
0.500 0.500 0.000 Sn
0.500 0.000 0.182 Bi
0.000 0.500 0.818 Bi
0.500 0.500 0.500 Bi
0.000 0.000 0.500 Bi
```

Formation energy from the elements (eV/atom): -0.527
V (Å³/f.u.): 260
Total moment (μB per formula unit): 0.00
SG: P-4m2 (115)
E_tot (eV per atom): -4.49

VASP calculation (PBE-GGA) on a geometry-optimized BaTl3B structure.

```
BaTl3B
1.0
6.516 0.000 0.000
0.000 6.516 0.000
0.000 0.000 6.516
Tl B Ba
3 1 1
Direct
0.000 0.500 0.000 Tl
0.000 0.000 0.500 Tl
0.500 0.000 0.000 Tl
0.500 0.500 0.500 B
0.000 0.000 0.000 Ba
```

Formation energy from the elements (eV/atom): 1.619
V (Å³/f.u.): 277
Total moment (μB per formula unit): 0.77
SG: Pm-3m (221)
E_tot (eV per atom): -1.52

VASP calculation (PBE-GGA) on a geometry-optimized Cu3C5 structure.

```
Cu3C5
1.0
2.320 -3.021 0.000
2.320 3.021 0.000
0.000 0.000 7.090
Cu C
3 5
Direct
0.500 0.500 0.000 Cu
0.814 0.186 0.500 Cu
0.186 0.814 0.500 Cu
0.000 0.000 0.000 C
0.000 0.500 0.000 C
0.500 0.000 0.000 C
0.359 0.359 0.500 C
0.641 0.641 0.500 C
```

Formation energy from the elements (eV/atom): 1.819
V (Å³/f.u.): 99
Total moment (μB per formula unit): 0.00
SG: Cmmm (65)
E_tot (eV per atom): -5.48

VASP calculation (PBE-GGA) on a geometry-optimized NaTlZn structure.

```
NaTlZn
1.0
3.510 0.000 0.000
0.000 4.923 0.000
0.000 -2.462 4.264
Na Tl Zn
1 1 1
Direct
0.667 0.667 0.333 Na
0.168 0.333 0.667 Tl
0.165 0.000 0.000 Zn
```

Formation energy from the elements (eV/atom): -0.026
V (Å³/f.u.): 74
Total moment (μB per formula unit): 0.00
SG: P3m1 (156)
E_tot (eV per atom): -1.68

VASP calculation (PBE-GGA) on a geometry-optimized TcC3N structure.

```
TcC3N
1.0
4.021 0.000 0.000
0.000 4.021 0.000
0.000 0.000 4.021
C Tc N
3 1 1
Direct
0.000 0.500 0.000 C
0.000 0.000 0.500 C
0.500 0.000 0.000 C
0.000 0.000 0.000 Tc
0.500 0.500 0.500 N
```

V (Å³/f.u.): 65
Total moment (μB per formula unit): 2.00
Raw formation energy (eV/atom): 2.878
SG: Pm-3m (221)
E_tot (eV per atom): -6.39

VASP calculation (PBE-GGA) on a geometry-optimized CoAs2Rh structure.

```
CoAs2Rh
1.0
-4.052 0.068 -3.380
-3.110 -4.222 -0.596
1.954 3.522 3.410
As Co Rh
2 1 1
Direct
0.995 0.995 0.000 As
0.271 0.771 0.500 As
0.470 0.470 0.000 Co
0.764 0.264 0.500 Rh
```

Formation energy from the elements (eV/atom): 0.011
V (Å³/f.u.): 60
Total moment (μB per formula unit): 0.53
SG: Imm2 (44)
E_tot (eV per atom): -5.93

VASP calculation (PBE-GGA) on a geometry-optimized DyMgCo2 structure.

```
DyMgCo2
1.0
3.228 0.000 0.000
0.000 3.228 0.000
0.000 0.000 6.196
Mg Co Dy
1 2 1
Direct
0.500 0.500 0.500 Mg
0.000 0.000 0.727 Co
0.000 0.000 0.273 Co
0.500 0.500 0.000 Dy
```

Formation energy from the elements (eV/atom): 0.062
V (Å³/f.u.): 65
Total moment (μB per formula unit): 0.00
SG: P4/mmm (123)
E_tot (eV per atom): -5.04

VASP calculation (PBE-GGA) on a geometry-optimized La2Ni2Pb structure.

```
La2Ni2Pb
1.0
-2.357 4.912 1.180
-2.253 0.143 -5.097
-5.524 0.654 -0.588
Pb Ni La
1 2 2
Direct
0.000 0.000 0.000 Pb
0.354 0.354 0.291 Ni
0.646 0.646 0.709 Ni
0.750 0.250 0.500 La
0.250 0.750 0.500 La
```

Formation energy from the elements (eV/atom): -0.308
V (Å³/f.u.): 123
Total moment (μB per formula unit): 0.00
SG: I4/mmm (139)
E_tot (eV per atom): -5.33

VASP calculation (PBE-GGA) on a geometry-optimized Ti2TlBi2 structure.

```
Ti2TlBi2
1.0
8.901 0.000 0.000
0.000 8.901 0.000
0.000 0.000 3.211
Tl Bi Ti
2 4 4
Direct
0.000 0.000 0.000 Tl
0.500 0.500 0.000 Tl
0.333 0.833 0.000 Bi
0.833 0.667 0.000 Bi
0.667 0.167 0.000 Bi
0.167 0.333 0.000 Bi
0.113 0.613 0.500 Ti
0.613 0.887 0.500 Ti
0.887 0.387 0.500 Ti
0.387 0.113 0.500 Ti
```

Formation energy from the elements (eV/atom): 0.154
V (Å³/f.u.): 127
Total moment (μB per formula unit): 0.00
SG: P4/mbm (127)
E_tot (eV per atom): -5.03

VASP calculation (PBE-GGA) on a geometry-optimized CsTl2N structure.

```
CsTl2N
1.0
8.186 0.000 0.000
0.000 8.186 0.000
4.093 4.093 3.852
Cs Tl N
2 4 2
Direct
0.000 0.000 0.000 Cs
0.750 0.250 0.500 Cs
0.501 0.125 0.250 Tl
0.249 0.625 0.250 Tl
0.375 0.499 0.750 Tl
0.875 0.751 0.750 Tl
0.500 0.500 0.000 N
0.250 0.750 0.500 N
```

V (Å³/f.u.): 129
Total moment (μB per formula unit): 0.00
Raw formation energy (eV/atom): 0.518
SG: I-42d (122)
E_tot (eV per atom): -2.96

VASP calculation (PBE-GGA) on a geometry-optimized Na3ZnOs structure.

```
Na3ZnOs
1.0
5.649 0.000 0.000
0.000 5.649 0.000
0.000 0.000 5.649
Na Zn Os
3 1 1
Direct
0.000 0.500 0.000 Na
0.000 0.000 0.500 Na
0.500 0.000 0.000 Na
0.500 0.500 0.500 Zn
0.000 0.000 0.000 Os
```

Formation energy from the elements (eV/atom): 1.306
V (Å³/f.u.): 180
Total moment (μB per formula unit): 1.43
SG: Pm-3m (221)
E_tot (eV per atom): -1.99

VASP calculation (PBE-GGA) on a geometry-optimized Pm6ThIn3 structure.

```
Pm6ThIn3
1.0
5.452 0.000 0.000
0.000 9.249 -3.066
0.000 0.020 12.061
Pm Th In
12 2 6
Direct
0.250 0.457 0.086 Pm
0.750 0.543 0.914 Pm
0.250 0.131 0.163 Pm
0.750 0.869 0.837 Pm
0.250 0.650 0.682 Pm
0.750 0.350 0.318 Pm
0.250 0.266 0.496 Pm
0.750 0.734 0.504 Pm
0.250 0.832 0.284 Pm
0.750 0.168 0.716 Pm
0.250 0.095 0.887 Pm
0.750 0.905 0.113 Pm
0.250 0.958 0.578 Th
0.750 0.042 0.422 Th
0.250 0.549 0.383 In
0.750 0.451 0.617 In
0.250 0.368 0.785 In
0.750 0.632 0.215 In
0.250 0.772 0.971 In
0.750 0.228 0.029 In
```

Formation energy from the elements (eV/atom): -0.246
V (Å³/f.u.): 304
Total moment (μB per formula unit): 0.00
SG: P2_1/m (11)
E_tot (eV per atom): -4.66

VASP calculation (PBE-GGA) on a geometry-optimized LiPm3Pb2O structure.

```
LiPm3Pb2O
1.0
4.491 0.000 0.000
0.000 4.765 0.000
-2.245 -2.382 8.333
Li Pm Pb O
1 3 2 1
Direct
0.500 0.000 0.000 Li
0.000 0.500 0.000 Pm
0.159 0.159 0.318 Pm
0.841 0.841 0.682 Pm
0.643 0.643 0.286 Pb
0.357 0.357 0.714 Pb
0.000 0.000 0.000 O
```

V (Å³/f.u.): 178
Total moment (μB per formula unit): 0.00
Raw formation energy (eV/atom): -1.177
SG: Immm (71)
E_tot (eV per atom): -5.25

VASP calculation (PBE-GGA) on a geometry-optimized ReMo2Se structure.

```
ReMo2Se
1.0
2.799 -0.002 0.000
-1.005 2.613 0.000
0.000 0.000 8.843
Mo Re Se
2 1 1
Direct
0.000 0.000 0.008 Mo
0.000 0.000 0.492 Mo
0.500 0.500 0.250 Re
0.500 0.500 0.750 Se
```

V (Å³/f.u.): 65
Total moment (μB per formula unit): 0.00
Raw formation energy (eV/atom): 0.423
SG: Cmmm (65)
E_tot (eV per atom): -8.98

VASP calculation (PBE-GGA) on a geometry-optimized TaCdHg structure.

```
TaCdHg
1.0
0.022 -1.732 2.852
2.504 -1.811 1.258
5.405 11.685 7.836
Ta Cd Hg
2 2 2
Direct
0.025 0.025 0.220 Ta
0.729 0.729 0.087 Ta
0.688 0.688 0.385 Cd
0.066 0.066 0.922 Cd
0.285 0.285 0.561 Hg
0.467 0.467 0.746 Hg
```

Formation energy from the elements (eV/atom): 0.221
V (Å³/f.u.): 66
Total moment (μB per formula unit): 0.00
SG: C2/m (12)
E_tot (eV per atom): -4.14

VASP calculation (PBE-GGA) on a geometry-optimized Cs2Hf3TlO8 structure.

```
Cs2Hf3TlO8
1.0
6.547 0.000 0.000
3.274 5.670 0.000
3.274 1.890 7.310
Cs Hf Tl O
2 3 1 8
Direct
0.131 0.131 0.607 Cs
0.497 0.497 0.508 Cs
0.495 0.005 0.004 Hf
0.005 0.495 0.004 Hf
0.495 0.495 0.004 Hf
0.910 0.910 0.270 Tl
0.280 0.280 0.159 O
0.709 0.709 0.872 O
0.229 0.229 0.868 O
0.674 0.229 0.868 O
0.229 0.674 0.868 O
0.761 0.315 0.163 O
0.315 0.761 0.163 O
0.761 0.761 0.163 O
```

V (Å³/f.u.): 271
Total moment (μB per formula unit): 1.01
Raw formation energy (eV/atom): -2.607
SG: R3m (160)
E_tot (eV per atom): -7.86

VASP calculation (PBE-GGA) on a geometry-optimized PuZr2Hg3 structure.

```
PuZr2Hg3
1.0
-2.680 -1.282 -0.626
1.194 -2.744 0.509
-3.574 0.932 13.395
Pu Zr Hg
1 2 3
Direct
0.500 0.500 0.500 Pu
0.500 0.500 0.838 Zr
0.500 0.500 0.162 Zr
0.000 0.000 0.000 Hg
0.000 0.000 0.675 Hg
0.000 0.000 0.325 Hg
```

Formation energy from the elements (eV/atom): 0.212
V (Å³/f.u.): 128
Total moment (μB per formula unit): 0.03
SG: P4/mmm (123)
E_tot (eV per atom): -5.18

VASP calculation (PBE-GGA) on a geometry-optimized K2ZrInS4 structure.

```
K2ZrInS4
1.0
3.879 0.000 0.000
0.000 7.031 0.199
0.000 -2.395 7.179
K Zr In S
2 1 1 4
Direct
0.500 0.000 0.500 K
0.000 0.500 0.500 K
0.500 0.500 0.000 Zr
0.000 0.000 0.000 In
0.500 0.250 0.193 S
0.500 0.750 0.807 S
0.000 0.280 0.803 S
0.000 0.720 0.197 S
```

V (Å³/f.u.): 198
Total moment (μB per formula unit): 0.00
Raw formation energy (eV/atom): -1.198
SG: P2/m (10)
E_tot (eV per atom): -4.95

VASP calculation (PBE-GGA) on a geometry-optimized CdNiIr2 structure.

```
CdNiIr2
1.0
-4.292 -3.990 -6.907
-4.685 -5.949 -4.971
-6.428 -3.787 -5.137
Cd Ir Ni
1 2 1
Direct
0.754 0.754 0.754 Cd
0.995 0.995 0.995 Ir
0.247 0.247 0.247 Ir
0.505 0.505 0.505 Ni
```

Formation energy from the elements (eV/atom): 0.157
V (Å³/f.u.): 60
Total moment (μB per formula unit): 0.00
SG: R3m (160)
E_tot (eV per atom): -5.95

VASP calculation (PBE-GGA) on a geometry-optimized HfAgSn3 structure.

```
HfAgSn3
1.0
5.521 0.000 0.000
0.000 5.521 0.000
0.000 0.000 5.521
Hf Sn Ag
1 3 1
Direct
0.000 0.000 0.000 Hf
0.000 0.500 0.000 Sn
0.000 0.000 0.500 Sn
0.500 0.000 0.000 Sn
0.500 0.500 0.500 Ag
```

Formation energy from the elements (eV/atom): 0.522
V (Å³/f.u.): 168
Total moment (μB per formula unit): 0.00
SG: Pm-3m (221)
E_tot (eV per atom): -4.44